Ac6Os2Br3N | PBE | optimized geometry

Properties
Spin magnetization in μB/f.u.: 0.00
ρ in g cm⁻³: 8.73
Formation energy from raw total energies in eV/atom: -0.899

Structure (POSCAR):
```
Ac6Os2Br3N
1.0
3.650 -6.331 0.000
3.650 6.331 0.000
-2.445 0.000 8.213
Ac Os Br N
6 2 3 1
Direct
0.063 0.380 0.189
0.253 0.253 0.812
0.380 0.063 0.189
0.620 0.937 0.811
0.747 0.747 0.188
0.937 0.620 0.811
0.334 0.666 0.000
0.666 0.334 0.000
0.172 0.828 0.500
0.500 0.500 0.500
0.828 0.172 0.500
0.000 0.000 0.000
```